# 1
Here is a relaxed structure of AlZnAg2 from Alexandria via LeMat-Bulk. Energies are from GGA-PBEsol.

Summary:
Density of states at the Fermi level (states/eV per atom): 0.196
Electronic total energy (eV/atom): -3.134

Cell: 2.826 4.285 5.367 Å, 90.00 105.97 90.00°
Element x y z (fractional)
Zn (0.325, 0.500, 0.772)
Al (0.176, 0.000, 0.481)
Ag (0.920, 0.000, 0.958)
Ag (0.579, 0.500, 0.288)



# 2
Here is a relaxed structure of Al2ZnAg from Alexandria via LeMat-Bulk. Energies are from GGA-PBEsol.

Summary:
Density of states at the Fermi level (states/eV per atom): 0.365
Electronic total energy (eV/atom): -3.281

Cell: 2.968 4.621 4.880 Å, 95.68 107.71 90.00°
Element x y z (fractional)
Zn (0.499, 0.507, 0.998)
Al (0.001, 0.006, 0.003)
Al (0.251, 0.742, 0.502)
Ag (0.749, 0.245, 0.497)



Copy entry 1 word for word.
Here is a relaxed structure of AlZnAg2 from Alexandria via LeMat-Bulk. Energies are from GGA-PBEsol.

Summary:
Density of states at the Fermi level (states/eV per atom): 0.196
Electronic total energy (eV/atom): -3.134

Cell: 2.826 4.285 5.367 Å, 90.00 105.97 90.00°
Element x y z (fractional)
Zn (0.325, 0.500, 0.772)
Al (0.176, 0.000, 0.481)
Ag (0.920, 0.000, 0.958)
Ag (0.579, 0.500, 0.288)



> Which formula does entry 1 have?

AlZnAg2



> Among the records above, which one has the highest density of states at the Fermi level?

Al2ZnAg